Record 1
## Ba3TbCu2O6 (PBE)

Data for a geometry-optimized Ba3TbCu2O6 structure.

Values from the calculation:
formation energy (no corrections)	-2.01	eV per atom
ρ	5.723	Mg/m³

Cell lengths 6.2006, 6.2006, 6.9188 Å; angles 90.00, 90.00, 120.00 degrees
Space group P-3m1 (No. 164)
One atom of each set of equivalent atoms:
1 Ba 0.0000 0.0000 0.0000 [1 per cell]
2 Ba 0.3333 0.6667 0.6548 [2 per cell]
3 Tb 0.0000 0.0000 0.5000 [1 per cell]
4 Cu 0.3333 0.6667 0.2138 [2 per cell]
5 O 0.1652 0.3304 0.2996 [6 per cell]



Record 2
## Eu2CuSe (PBE)

Data for a geometry-optimized Eu2CuSe structure.

Values from the calculation:
formation energy (no corrections)	-0.92	eV per atom
ρ	6.461	Mg/m³

Cell lengths 4.2920, 4.2920, 21.5758 Å; angles 90.00, 90.00, 120.00 degrees
Space group R-3m (No. 166, hexagonal axes)
One atom of each set of equivalent atoms:
1 Eu 0.0000 0.0000 0.2491 [6 per cell]
2 Cu 0.0000 0.0000 0.0000 [3 per cell]
3 Se 0.0000 0.0000 0.5000 [3 per cell]



Record 3
## SeClO (PBE)

Data for a geometry-optimized SeClO structure.

Values from the calculation:
formation energy (no corrections)	-0.42	eV per atom
ρ	2.583	Mg/m³

Cell lengths 4.4625, 6.0339, 6.8441 Å; angles 105.04, 94.33, 107.21 degrees
Space group P-1 (No. 2)
One atom of each set of equivalent atoms:
1 Se 0.1098 0.1009 0.2026 [2 per cell]
2 Cl 0.0870 0.2680 0.7531 [2 per cell]
3 O 0.4987 0.1651 0.2236 [2 per cell]



Record 4
## PdBrCl (PBE)

Data for a geometry-optimized PdBrCl structure.

Values from the calculation:
formation energy (no corrections)	-0.36	eV per atom
excess energy over the best structure of this formula in the dataset	0	meV/atom
ρ	3.947	Mg/m³

Cell lengths 3.5009, 8.8773, 12.0094 Å; angles 90.00, 90.00, 90.00 degrees
Space group P2_12_12_1 (No. 19)
One atom of each set of equivalent atoms:
1 Pd 0.0023 0.0742 0.1094 [4 per cell]
2 Br 0.0024 0.3030 0.7813 [4 per cell]
3 Cl 0.0022 0.5393 0.9909 [4 per cell]



Record 5
## HfZnI (PBE)

Data for a geometry-optimized HfZnI structure.

Values from the calculation:
formation energy (no corrections)	-0.06	eV per atom
ρ	7.437	Mg/m³

Cell lengths 14.8740, 3.5859, 6.2090 Å; angles 90.00, 90.00, 90.00 degrees
Space group Amm2 (No. 38)
One atom of each set of equivalent atoms:
1 Hf 0.1291 0.0000 0.0000 [4 per cell]
2 Zn 0.0000 0.0000 0.3336 [2 per cell]
3 Zn 0.5000 0.0000 0.0082 [2 per cell]
4 I 0.2684 0.0000 0.3334 [4 per cell]



Record 6
## TbPrSc2Sb4 (PBE)

Data for a geometry-optimized TbPrSc2Sb4 structure.

Values from the calculation:
formation energy (no corrections)	-1.04	eV per atom
ρ	6.360	Mg/m³

Cell lengths 7.4706, 4.3346, 7.5032 Å; angles 90.00, 109.57, 90.00 degrees
Space group P2/m (No. 10)
One atom of each set of equivalent atoms:
1 Tb 0.0000 0.0000 0.0000 [1 per cell]
2 Pr 0.0000 0.5000 0.5000 [1 per cell]
3 Sc 0.5000 0.0000 0.5000 [1 per cell]
4 Sc 0.5000 0.5000 0.0000 [1 per cell]
5 Sb 0.2693 0.5000 0.2518 [2 per cell]
6 Sb 0.2728 0.0000 0.7622 [2 per cell]



Record 7
## ZnCdP2 (PBE)

Data for a geometry-optimized ZnCdP2 structure.

Values from the calculation:
excess energy over the best structure of this formula in the dataset	210	meV/atom
ρ	5.417	Mg/m³
energy of formation	270	meV/atom

Cell lengths 3.6922, 3.6922, 5.3918 Å; angles 90.00, 90.00, 90.00 degrees
Space group P4/mmm (No. 123)
One atom of each set of equivalent atoms:
1 Zn 0.0000 0.0000 0.0000 [1 per cell]
2 Cd 0.0000 0.0000 0.5000 [1 per cell]
3 P 0.5000 0.5000 0.2005 [2 per cell]



Record 8
## Cd2SiAg (PBE)

Data for a geometry-optimized Cd2SiAg structure.

Values from the calculation:
formation energy (no corrections)	0.24	eV per atom
ρ	7.491	Mg/m³

Cell lengths 2.9380, 5.0734, 10.7309 Å; angles 90.00, 90.00, 90.00 degrees
Space group Cmm2 (No. 35)
One atom of each set of equivalent atoms:
1 Cd 0.0000 0.0000 0.0000 [2 per cell]
2 Cd 0.0000 0.5000 0.2713 [2 per cell]
3 Si 0.0000 0.5000 0.7303 [2 per cell]
4 Ag 0.0000 0.0000 0.5163 [2 per cell]



What is the formula in the sixth record?
TbPrSc2Sb4



Which of these has the lowest ρ?
SeClO



Look up the ρ of the fifth one.
7.437 Mg/m³